# YZnCoPt PBE-GGA relaxed
data_YZnCoPt
_symmetry_space_group_name_H-M 'P 1'
_symmetry_Int_Tables_number 1
_symmetry_space_group_name_Hall 'P 1'
_cell_length_a 4.553
_cell_length_b 4.553
_cell_length_c 4.553
_cell_angle_alpha 60.00
_cell_angle_beta 60.00
_cell_angle_gamma 60.00
loop_
_atom_site_label
_atom_site_type_symbol
_atom_site_fract_x
_atom_site_fract_y
_atom_site_fract_z
_atom_site_occupancy
Co1 Co 0.750 0.750 0.750 1
Pt1 Pt 0.250 0.250 0.250 1
Y1 Y 0.500 0.500 0.500 1
Zn1 Zn 0.000 0.000 0.000 1
# space-group type: F-43m
# ΔH_f (0 K): -408.3 meV per atom
# energy above the most stable polymorph in this dataset: 0 meV per atom

=====

# ZrCoPt2 PBE-GGA relaxed
data_ZrCoPt2
_symmetry_space_group_name_H-M 'P 1'
_symmetry_Int_Tables_number 1
_symmetry_space_group_name_Hall 'P 1'
_cell_length_a 4.492
_cell_length_b 4.492
_cell_length_c 4.492
_cell_angle_alpha 60.00
_cell_angle_beta 60.00
_cell_angle_gamma 60.00
loop_
_atom_site_label
_atom_site_type_symbol
_atom_site_fract_x
_atom_site_fract_y
_atom_site_fract_z
_atom_site_occupancy
Co1 Co 0.250 0.250 0.250 1
Pt1 Pt 0.000 0.000 0.000 1
Pt2 Pt 0.750 0.750 0.750 1
Zr1 Zr 0.500 0.500 0.500 1
# space-group type: F-43m
# ΔH_f (0 K): -462.2 meV per atom

=====

# PuCo3 PBE-GGA relaxed
data_PuCo3
_symmetry_space_group_name_H-M 'P 1'
_symmetry_Int_Tables_number 1
_symmetry_space_group_name_Hall 'P 1'
_cell_length_a 8.400
_cell_length_b 8.400
_cell_length_c 8.400
_cell_angle_alpha 32.36
_cell_angle_beta 32.36
_cell_angle_gamma 32.36
loop_
_atom_site_label
_atom_site_type_symbol
_atom_site_fract_x
_atom_site_fract_y
_atom_site_fract_z
_atom_site_occupancy
Co1 Co 0.582 0.582 0.083 1
Co2 Co 0.333 0.333 0.333 1
Co3 Co 0.917 0.418 0.418 1
Co4 Co 0.418 0.917 0.418 1
Co5 Co 0.500 0.500 0.500 1
Co6 Co 0.582 0.083 0.582 1
Co7 Co 0.083 0.582 0.582 1
Co8 Co 0.667 0.667 0.667 1
Co9 Co 0.418 0.418 0.917 1
Pu1 Pu 0.000 0.000 0.000 1
Pu2 Pu 0.146 0.146 0.146 1
Pu3 Pu 0.854 0.854 0.854 1
# space-group type: R-3m
# ΔH_f (0 K): 179.2 meV per atom

=====

# Pu2Co17 PBE-GGA relaxed
data_Pu2Co17
_symmetry_space_group_name_H-M 'P 1'
_symmetry_Int_Tables_number 1
_symmetry_space_group_name_Hall 'P 1'
_cell_length_a 8.185
_cell_length_b 8.186
_cell_length_c 7.939
_cell_angle_alpha 90.00
_cell_angle_beta 90.00
_cell_angle_gamma 119.99
loop_
_atom_site_label
_atom_site_type_symbol
_atom_site_fract_x
_atom_site_fract_y
_atom_site_fract_z
_atom_site_occupancy
Co1 Co 0.500 0.000 0.000 1
Co2 Co 0.000 0.500 0.000 1
Co3 Co 0.500 0.500 0.000 1
Co4 Co 0.835 0.669 0.029 1
Co5 Co 0.835 0.165 0.029 1
Co6 Co 0.331 0.165 0.029 1
Co7 Co 0.333 0.667 0.098 1
Co8 Co 0.325 0.370 0.250 1
Co9 Co 0.045 0.370 0.250 1
Co10 Co 0.630 0.675 0.250 1
Co11 Co 0.045 0.675 0.250 1
Co12 Co 0.325 0.955 0.250 1
Co13 Co 0.630 0.955 0.250 1
Co14 Co 0.333 0.667 0.402 1
Co15 Co 0.331 0.165 0.471 1
Co16 Co 0.835 0.165 0.471 1
Co17 Co 0.835 0.669 0.471 1
Co18 Co 0.500 0.000 0.500 1
Co19 Co 0.000 0.500 0.500 1
Co20 Co 0.500 0.500 0.500 1
Co21 Co 0.165 0.331 0.529 1
Co22 Co 0.165 0.835 0.529 1
Co23 Co 0.669 0.835 0.529 1
Co24 Co 0.667 0.333 0.598 1
Co25 Co 0.370 0.045 0.750 1
Co26 Co 0.675 0.045 0.750 1
Co27 Co 0.955 0.325 0.750 1
Co28 Co 0.370 0.325 0.750 1
Co29 Co 0.955 0.630 0.750 1
Co30 Co 0.675 0.630 0.750 1
Co31 Co 0.667 0.333 0.902 1
Co32 Co 0.669 0.835 0.971 1
Co33 Co 0.165 0.835 0.971 1
Co34 Co 0.165 0.331 0.971 1
Pu1 Pu 0.000 0.000 0.250 1
Pu2 Pu 0.667 0.333 0.250 1
Pu3 Pu 0.333 0.667 0.750 1
Pu4 Pu 0.000 0.000 0.750 1
# space-group type: P6_3/mmc
# ΔH_f (0 K): 174.3 meV per atom
# energy above the most stable polymorph in this dataset: 248 meV per atom

=====

# Pu6Co PBE-GGA relaxed
data_Pu6Co
_symmetry_space_group_name_H-M 'P 1'
_symmetry_Int_Tables_number 1
_symmetry_space_group_name_Hall 'P 1'
_cell_length_a 8.361
_cell_length_b 8.361
_cell_length_c 8.361
_cell_angle_alpha 95.72
_cell_angle_beta 95.72
_cell_angle_gamma 143.19
loop_
_atom_site_label
_atom_site_type_symbol
_atom_site_fract_x
_atom_site_fract_y
_atom_site_fract_z
_atom_site_occupancy
Co1 Co 0.250 0.250 0.000 1
Co2 Co 0.750 0.750 0.000 1
Pu1 Pu 0.401 0.701 0.102 1
Pu2 Pu 0.201 0.901 0.102 1
Pu3 Pu 0.898 0.398 0.296 1
Pu4 Pu 0.099 0.201 0.300 1
Pu5 Pu 0.701 0.599 0.300 1
Pu6 Pu 0.398 0.102 0.500 1
Pu7 Pu 0.602 0.898 0.500 1
Pu8 Pu 0.299 0.401 0.700 1
Pu9 Pu 0.901 0.799 0.700 1
Pu10 Pu 0.102 0.602 0.704 1
Pu11 Pu 0.799 0.099 0.898 1
Pu12 Pu 0.599 0.299 0.898 1
# space-group type: I4/mcm
# ΔH_f (0 K): 72.3 meV per atom

=====

# Pu2Co PBE-GGA relaxed
data_Pu2Co
_symmetry_space_group_name_H-M 'P 1'
_symmetry_Int_Tables_number 1
_symmetry_space_group_name_Hall 'P 1'
_cell_length_a 7.851
_cell_length_b 7.851
_cell_length_c 7.851
_cell_angle_alpha 60.00
_cell_angle_beta 60.00
_cell_angle_gamma 60.00
loop_
_atom_site_label
_atom_site_type_symbol
_atom_site_fract_x
_atom_site_fract_y
_atom_site_fract_z
_atom_site_occupancy
Co1 Co 0.250 0.250 0.250 1
Co2 Co 0.500 0.500 0.500 1
Pu1 Pu 0.375 0.375 0.375 1
Pu2 Pu 0.875 0.375 0.375 1
Pu3 Pu 0.375 0.875 0.375 1
Pu4 Pu 0.375 0.375 0.875 1
# space-group type: Fd-3m
# ΔH_f (0 K): 1044.2 meV per atom

=====

What is the ΔH_f (0 K) in the fourth record? 174.3 meV per atom

=====

What is the formula in the third record? PuCo3

=====

What is the formula in the sixth record? Pu2Co